Entry 1:
VASP calculation (PBE) on crystalline HoNpGa at its relaxed geometry.

V, Å³/cell: 81
Space-group type: No. 216
Uncorrected energy, eV for the cell shown: -18.40

POSCAR file:
```
HoNpGa
1.0
0.0000 3.4343 3.4343
3.4343 0.0000 3.4343
3.4343 3.4343 0.0000
Ho Np Ga
1 1 1
direct
0.0000 0.0000 0.0000
0.2500 0.2500 0.2500
0.7500 0.7500 0.7500
```

Entry 2:
VASP calculation (PBE) on crystalline ReTeSe4 at its relaxed geometry.

V, Å³/cell: 325
Space-group type: No. 2
Uncorrected energy, eV for the cell shown: -60.05

POSCAR file:
```
ReTeSe4
1.0
6.9017 0.0000 0.0000
-1.9691 6.8066 0.0000
-0.0788 -3.7086 6.9092
Re Te Se
2 2 8
direct
0.0001 0.2086 0.9998
0.9999 0.7914 0.0002
0.0023 0.7398 0.4790
0.9977 0.2602 0.5210
0.2032 0.5039 0.8974
0.2313 0.9895 0.3209
0.2322 0.4561 0.3197
0.2370 0.9938 0.8598
0.7630 0.0062 0.1402
0.7678 0.5439 0.6803
0.7687 0.0105 0.6791
0.7968 0.4961 0.1026
```

Entry 3:
VASP calculation (PBE) on crystalline NbCd2HgF6 at its relaxed geometry.

V, Å³/cell: 153
Space-group type: No. 162
Uncorrected energy, eV for the cell shown: -44.26

POSCAR file:
```
NbCd2HgF6
1.0
4.9321 0.0000 0.0000
-2.4660 4.2713 0.0000
0.0000 0.0000 7.2682
Nb Cd Hg F
1 2 1 6
direct
0.0000 0.0000 0.0000
0.3333 0.6667 0.5000
0.6667 0.3333 0.5000
0.0000 0.0000 0.5000
0.0000 0.3186 0.8441
0.0000 0.6814 0.1559
0.3186 0.0000 0.8441
0.3186 0.3186 0.1559
0.6814 0.0000 0.1559
0.6814 0.6814 0.8441
```

Entry 4:
VASP calculation (PBE) on crystalline Y2CdIn at its relaxed geometry.

V, Å³/cell: 277
Space-group type: No. 194
Uncorrected energy, eV for the cell shown: -33.20

POSCAR file:
```
Y2CdIn
1.0
5.4059 0.0000 0.0000
-2.7030 4.6817 0.0000
0.0000 0.0000 10.9517
Y Cd In
4 2 2
direct
0.3333 0.6667 0.0870
0.3333 0.6667 0.4130
0.6667 0.3333 0.5870
0.6667 0.3333 0.9130
0.3333 0.6667 0.7500
0.6667 0.3333 0.2500
0.0000 0.0000 0.0000
0.0000 0.0000 0.5000
```

Entry 5:
VASP calculation (PBE) on crystalline Pa2BiO4 at its relaxed geometry.

V, Å³/cell: 283
Space-group type: No. 141
Uncorrected energy, eV for the cell shown: -109.73

POSCAR file:
```
Pa2BiO4
1.0
-3.6870 3.6870 5.2091
3.6870 -3.6870 5.2091
3.6870 3.6870 -5.2091
Pa Bi O
4 2 8
direct
0.0000 0.0000 0.0000
0.0000 0.0000 0.5000
0.0000 0.5000 0.0000
0.5000 0.0000 0.5000
0.3750 0.6250 0.7500
0.6250 0.3750 0.2500
0.1565 0.2190 0.9375
0.2190 0.1565 0.4375
0.2190 0.7815 0.0625
0.2185 0.7810 0.4375
0.7815 0.2190 0.5625
0.7810 0.2185 0.9375
0.7810 0.8435 0.5625
0.8435 0.7810 0.0625
```

Entry 6:
VASP calculation (PBE) on crystalline BeAlSiIr at its relaxed geometry.

V, Å³/cell: 51
Space-group type: No. 216
Uncorrected energy, eV for the cell shown: -21.95

POSCAR file:
```
BeAlSiIr
1.0
0.0000 2.9510 2.9510
2.9510 0.0000 2.9510
2.9510 2.9510 0.0000
Be Al Si Ir
1 1 1 1
direct
0.0000 0.0000 0.0000
0.5000 0.5000 0.5000
0.2500 0.2500 0.2500
0.7500 0.7500 0.7500
```